# 1
VASP calculation (PBEsol) on crystalline NaCa2LaSb at its relaxed geometry.

a b c (Å): 5.541 5.714 5.714
angles (deg): 90.00 90.00 90.00
Element x y z (fractional)
Sb 0.500 0.500 0.500
Ca 0.000 0.500 0.000
Ca 0.000 0.000 0.500
Na 0.500 0.000 0.000
La 0.000 0.000 0.000

Output
Raw formation energy: 0.928 eV/atom
Raw total energy: -2.186 eV/atom
Total magnetic moment: 0.0 μB/cell
N(E_F): 6.9 states/eV/f.u.
Symmetry: P4/mmm

=====

# 2
VASP calculation (PBEsol) on crystalline CaLa2Ni at its relaxed geometry.

a b c (Å): 3.895 3.895 10.031
angles (deg): 78.81 78.81 60.00
Element x y z (fractional)
La 0.778 0.778 0.667
La 0.222 0.222 0.333
Ni 0.500 0.500 0.500
Ca 0.000 0.000 0.000

Output
Formation energy: -0.07 eV per atom
Raw total energy: -4.815 eV/atom
Total magnetic moment: 0.0 μB/cell
N(E_F): 5.6 states/eV/f.u.
Symmetry: R-3m
Offset from the most stable computed form: 0.015 eV/f.u.